# La2BiTe4

La2BiTe4 after structural relaxation (PBE-GGA, Alexandria).

The structure in CIF format:
```
data_La2BiTe4
_cell_length_a 5.9004
_cell_length_b 5.9004
_cell_length_c 16.1085
_cell_angle_alpha 90.00
_cell_angle_beta 90.00
_cell_angle_gamma 90.00
_symmetry_space_group_name_H-M 'I 4/m m m'
_symmetry_Int_Tables_number 139
_symmetry_space_group_name_Hall '-I 4 2'
loop_
_atom_site_label
_atom_site_type_symbol
_atom_site_fract_x
_atom_site_fract_y
_atom_site_fract_z
La1 La 0.0000 0.0000 0.1233
Bi1 Bi 0.0000 0.0000 0.5000
Te1 Te 0.0000 0.0000 0.3099
Te2 Te 0.0000 0.5000 0.0000
```

The energy above the lowest structure with this stoichiometry is 32.93 kJ/mol of atoms. Its density of states at the Fermi level is 0.36 states/eV per atom. The total energy comes out at -4.460 eV/atom. The total magnetization comes out at 0.057 μB per atom. Its crystal system is tetragonal. The volume is 40.1 A^3/atom.


# Ba2CuHg

Ba2CuHg after structural relaxation (PBE-GGA, Alexandria).

The structure in CIF format:
```
data_Ba2CuHg
_cell_length_a 4.7673
_cell_length_b 4.7673
_cell_length_c 24.5764
_cell_angle_alpha 90.00
_cell_angle_beta 90.00
_cell_angle_gamma 120.00
_symmetry_space_group_name_H-M 'R -3 m'
_symmetry_Int_Tables_number 166
_symmetry_space_group_name_Hall '-R 3 2"'
loop_
_atom_site_label
_atom_site_type_symbol
_atom_site_fract_x
_atom_site_fract_y
_atom_site_fract_z
Ba1 Ba 0.0000 0.0000 0.2414
Cu1 Cu 0.0000 0.0000 0.5000
Hg1 Hg 0.0000 0.0000 0.0000
```

Its density of states at the Fermi level is 0.81 states/eV per atom. The total energy comes out at -2.211 eV/atom. The total magnetization comes out at 0.000 μB per atom. Its crystal system is trigonal. The volume is 40.3 A^3/atom.


# UH6Se2

UH6Se2 after structural relaxation (PBE-GGA, Alexandria).

The structure in CIF format:
```
data_UH6Se2
_cell_length_a 6.0223
_cell_length_b 3.6327
_cell_length_c 6.3284
_cell_angle_alpha 90.00
_cell_angle_beta 98.92
_cell_angle_gamma 90.00
_symmetry_space_group_name_H-M 'P 1 2/m 1'
_symmetry_Int_Tables_number 10
loop_
_symmetry_equiv_pos_as_xyz
'x,y,z'
'-x,-y,-z'
'-x,y,-z'
'x,-y,z'
loop_
_atom_site_label
_atom_site_type_symbol
_atom_site_fract_x
_atom_site_fract_y
_atom_site_fract_z
U1 U 0.0000 0.0000 0.0000
H1 H 0.2097 0.5000 0.0492
H2 H 0.3284 0.1070 0.2637
Se1 Se 0.1172 0.5000 0.6810
```

Its density of states at the Fermi level is 0.44 states/eV per atom. The total energy comes out at -4.406 eV/atom. The total magnetization comes out at 0.223 μB per atom. Its crystal system is monoclinic. The volume is 15.2 A^3/atom.


# Ga2CuH6

Ga2CuH6 after structural relaxation (PBE-GGA, Alexandria).

The structure in CIF format:
```
data_Ga2CuH6
_cell_length_a 6.6768
_cell_length_b 6.6768
_cell_length_c 6.6768
_cell_angle_alpha 90.00
_cell_angle_beta 90.00
_cell_angle_gamma 90.00
_symmetry_space_group_name_H-M 'F m -3 m'
_symmetry_Int_Tables_number 225
_symmetry_space_group_name_Hall '-F 4 2 3'
loop_
_atom_site_label
_atom_site_type_symbol
_atom_site_fract_x
_atom_site_fract_y
_atom_site_fract_z
Ga1 Ga 0.2500 0.2500 0.2500
Cu1 Cu 0.0000 0.0000 0.0000
H1 H 0.0000 0.0000 0.2575
```

Its density of states at the Fermi level is 0.26 states/eV per atom. The total energy comes out at -2.832 eV/atom. The total magnetization comes out at 0.000 μB per atom. Its crystal system is cubic. The volume is 8.3 A^3/atom.


# ZnSeBr2

ZnSeBr2 after structural relaxation (PBE-GGA, Alexandria).

The structure in CIF format:
```
data_ZnSeBr2
_cell_length_a 3.6207
_cell_length_b 8.8448
_cell_length_c 9.0087
_cell_angle_alpha 90.00
_cell_angle_beta 90.00
_cell_angle_gamma 90.00
_symmetry_space_group_name_H-M 'C m m 2'
_symmetry_Int_Tables_number 35
loop_
_symmetry_equiv_pos_as_xyz
'x,y,z'
'-x,-y,z'
'-x,y,z'
'x,-y,z'
'x+1/2,y+1/2,z'
'-x+1/2,-y+1/2,z'
'-x+1/2,y+1/2,z'
'x+1/2,-y+1/2,z'
loop_
_atom_site_label
_atom_site_type_symbol
_atom_site_fract_x
_atom_site_fract_y
_atom_site_fract_z
Zn1 Zn 0.0000 0.0000 0.0000
Se1 Se 0.0000 0.5000 0.1940
Br1 Br 0.0000 0.0000 0.4151
Br2 Br 0.0000 0.5000 0.8120
```

The energy above the lowest structure with this stoichiometry is 26.96 kJ/mol of atoms. The total energy comes out at -2.184 eV/atom. The total magnetization comes out at 0.000 μB per atom. Its crystal system is orthorhombic. The volume is 36.1 A^3/atom.


# HoCdGaSn

HoCdGaSn after structural relaxation (PBE-GGA, Alexandria).

The structure in CIF format:
```
data_HoCdGaSn
_cell_length_a 4.3640
_cell_length_b 4.5338
_cell_length_c 4.6015
_cell_angle_alpha 90.00
_cell_angle_beta 90.00
_cell_angle_gamma 90.00
_symmetry_space_group_name_H-M 'P m m m'
_symmetry_Int_Tables_number 47
loop_
_symmetry_equiv_pos_as_xyz
'x,y,z'
'-x,-y,-z'
'-x,-y,z'
'x,y,-z'
'x,-y,-z'
'-x,y,z'
'-x,y,-z'
'x,-y,z'
loop_
_atom_site_label
_atom_site_type_symbol
_atom_site_fract_x
_atom_site_fract_y
_atom_site_fract_z
Ho1 Ho 0.0000 0.0000 0.0000
Cd1 Cd 0.0000 0.5000 0.5000
Ga1 Ga 0.5000 0.5000 0.0000
Sn1 Sn 0.5000 0.0000 0.5000
```

Its density of states at the Fermi level is 0.28 states/eV per atom. The total energy comes out at -3.568 eV/atom. The total magnetization comes out at 0.000 μB per atom. Its crystal system is orthorhombic. The volume is 22.8 A^3/atom.


# TmBeF5

TmBeF5 after structural relaxation (PBE-GGA, Alexandria).

The structure in CIF format:
```
data_TmBeF5
_cell_length_a 7.9819
_cell_length_b 7.7653
_cell_length_c 8.0370
_cell_angle_alpha 90.00
_cell_angle_beta 118.43
_cell_angle_gamma 90.00
_symmetry_space_group_name_H-M 'C 1 2/c 1'
_symmetry_Int_Tables_number 15
loop_
_symmetry_equiv_pos_as_xyz
'x,y,z'
'-x,-y,-z'
'-x,y,-z+1/2'
'x,-y,z+1/2'
'x+1/2,y+1/2,z'
'-x+1/2,-y+1/2,-z'
'-x+1/2,y+1/2,-z+1/2'
'x+1/2,-y+1/2,z+1/2'
loop_
_atom_site_label
_atom_site_type_symbol
_atom_site_fract_x
_atom_site_fract_y
_atom_site_fract_z
Tm1 Tm 0.2500 0.2500 0.0000
Be1 Be 0.0000 0.1269 0.2500
F1 F 0.0000 0.3317 0.7500
F2 F 0.0898 0.2391 0.1522
F3 F 0.1586 0.0083 0.4024
```

Its density of states at the Fermi level is 0.00 states/eV per atom. The total energy comes out at -6.290 eV/atom. The total magnetization comes out at 0.000 μB per atom. Its crystal system is monoclinic. The volume is 15.6 A^3/atom.


# Cs2ReAgSe4

Cs2ReAgSe4 after structural relaxation (PBE-GGA, Alexandria).

The structure in CIF format:
```
data_Cs2ReAgSe4
_cell_length_a 6.1932
_cell_length_b 14.7448
_cell_length_c 25.4085
_cell_angle_alpha 90.00
_cell_angle_beta 90.00
_cell_angle_gamma 90.00
_symmetry_space_group_name_H-M 'F d d d'
_symmetry_Int_Tables_number 70
loop_
_symmetry_equiv_pos_as_xyz
'x,y,z'
'-x,-y,-z'
'-x+1/4,-y+1/4,z'
'x+1/4,y+1/4,-z'
'x,-y+1/4,-z+1/4'
'-x,y+1/4,z+1/4'
'-x+1/4,y,-z+1/4'
'x+1/4,-y,z+1/4'
'x,y+1/2,z+1/2'
'-x,-y+1/2,-z+1/2'
'-x+1/4,-y+3/4,z+1/2'
'x+1/4,y+3/4,-z+1/2'
'x,-y+3/4,-z+3/4'
'-x,y+3/4,z+3/4'
'-x+1/4,y+1/2,-z+3/4'
'x+1/4,-y+1/2,z+3/4'
'x+1/2,y,z+1/2'
'-x+1/2,-y,-z+1/2'
'-x+3/4,-y+1/4,z+1/2'
'x+3/4,y+1/4,-z+1/2'
'x+1/2,-y+1/4,-z+3/4'
'-x+1/2,y+1/4,z+3/4'
'-x+3/4,y,-z+3/4'
'x+3/4,-y,z+3/4'
'x+1/2,y+1/2,z'
'-x+1/2,-y+1/2,-z'
'-x+3/4,-y+3/4,z'
'x+3/4,y+3/4,-z'
'x+1/2,-y+3/4,-z+1/4'
'-x+1/2,y+3/4,z+1/4'
'-x+3/4,y+1/2,-z+1/4'
'x+3/4,-y+1/2,z+1/4'
loop_
_atom_site_label
_atom_site_type_symbol
_atom_site_fract_x
_atom_site_fract_y
_atom_site_fract_z
Cs1 Cs 0.1250 0.1250 0.3044
Re1 Re 0.1250 0.1250 0.6250
Ag1 Ag 0.1250 0.1250 0.1250
Se1 Se 0.0874 0.2793 0.8197
```

Its density of states at the Fermi level is 0.06 states/eV per atom. The total energy comes out at -4.426 eV/atom. The total magnetization comes out at 0.252 μB per atom. Its crystal system is orthorhombic. The volume is 36.3 A^3/atom.


# Pr3Lu5O12

Pr3Lu5O12 after structural relaxation (PBE-GGA, Alexandria).

The structure in CIF format:
```
data_Pr3Lu5O12
_cell_length_a 13.5060
_cell_length_b 13.5060
_cell_length_c 13.5060
_cell_angle_alpha 90.00
_cell_angle_beta 90.00
_cell_angle_gamma 90.00
_symmetry_space_group_name_H-M 'I a -3 d'
_symmetry_Int_Tables_number 230
_symmetry_space_group_name_Hall '-I 4bd 2c 3'
loop_
_atom_site_label
_atom_site_type_symbol
_atom_site_fract_x
_atom_site_fract_y
_atom_site_fract_z
Pr1 Pr 0.0000 0.2500 0.1250
Lu1 Lu 0.0000 0.0000 0.0000
Lu2 Lu 0.0000 0.2500 0.3750
O1 O 0.0242 0.0599 0.6515
```

Its density of states at the Fermi level is 0.00 states/eV per atom. The total energy comes out at -8.268 eV/atom. The total magnetization comes out at 0.000 μB per atom. Its crystal system is cubic. The volume is 15.4 A^3/atom.


# Li2AlAg

Li2AlAg after structural relaxation (PBE-GGA, Alexandria).

The structure in CIF format:
```
data_Li2AlAg
_cell_length_a 4.5403
_cell_length_b 7.8711
_cell_length_c 7.7918
_cell_angle_alpha 90.00
_cell_angle_beta 90.00
_cell_angle_gamma 90.00
_symmetry_space_group_name_H-M 'C m c m'
_symmetry_Int_Tables_number 63
_symmetry_space_group_name_Hall '-C 2c 2'
loop_
_atom_site_label
_atom_site_type_symbol
_atom_site_fract_x
_atom_site_fract_y
_atom_site_fract_z
Li1 Li 0.0000 0.1660 0.0851
Al1 Al 0.0000 0.4991 0.2500
Ag1 Ag 0.0000 0.1678 0.7500
```

Its density of states at the Fermi level is 0.38 states/eV per atom. The total energy comes out at -2.746 eV/atom. The total magnetization comes out at 0.000 μB per atom. Its crystal system is orthorhombic. The volume is 17.4 A^3/atom.


# RbHfSc2V

RbHfSc2V after structural relaxation (PBE-GGA, Alexandria).

The structure in CIF format:
```
data_RbHfSc2V
_cell_length_a 5.0386
_cell_length_b 5.0386
_cell_length_c 5.4102
_cell_angle_alpha 90.00
_cell_angle_beta 90.00
_cell_angle_gamma 90.00
_symmetry_space_group_name_H-M 'P 4/m m m'
_symmetry_Int_Tables_number 123
_symmetry_space_group_name_Hall '-P 4 2'
loop_
_atom_site_label
_atom_site_type_symbol
_atom_site_fract_x
_atom_site_fract_y
_atom_site_fract_z
Rb1 Rb 0.0000 0.0000 0.0000
Hf1 Hf 0.5000 0.5000 0.0000
Sc1 Sc 0.0000 0.5000 0.5000
V1 V 0.0000 0.0000 0.5000
```

Its density of states at the Fermi level is 1.52 states/eV per atom. The total energy comes out at -5.099 eV/atom. The total magnetization comes out at 0.103 μB per atom. Its crystal system is tetragonal. The volume is 27.5 A^3/atom.


# MgCdW2

MgCdW2 after structural relaxation (PBE-GGA, Alexandria).

The structure in CIF format:
```
data_MgCdW2
_cell_length_a 3.8685
_cell_length_b 3.8685
_cell_length_c 9.3195
_cell_angle_alpha 90.00
_cell_angle_beta 90.00
_cell_angle_gamma 90.00
_symmetry_space_group_name_H-M 'I 4/m m m'
_symmetry_Int_Tables_number 139
_symmetry_space_group_name_Hall '-I 4 2'
loop_
_atom_site_label
_atom_site_type_symbol
_atom_site_fract_x
_atom_site_fract_y
_atom_site_fract_z
Mg1 Mg 0.0000 0.0000 0.0000
Cd1 Cd 0.0000 0.0000 0.5000
W1 W 0.0000 0.5000 0.2500
```

The energy above the lowest structure with this stoichiometry is 24.13 kJ/mol of atoms. Its density of states at the Fermi level is 0.75 states/eV per atom. The total energy comes out at -6.566 eV/atom. The total magnetization comes out at 0.000 μB per atom. Its crystal system is tetragonal. The volume is 17.4 A^3/atom.


# LuAlTcMo

LuAlTcMo after structural relaxation (PBE-GGA, Alexandria).

The structure in CIF format:
```
data_LuAlTcMo
_cell_length_a 6.5130
_cell_length_b 6.5130
_cell_length_c 6.5130
_cell_angle_alpha 90.00
_cell_angle_beta 90.00
_cell_angle_gamma 90.00
_symmetry_space_group_name_H-M 'F -4 3 m'
_symmetry_Int_Tables_number 216
_symmetry_space_group_name_Hall 'F -4 2 3'
loop_
_atom_site_label
_atom_site_type_symbol
_atom_site_fract_x
_atom_site_fract_y
_atom_site_fract_z
Lu1 Lu 0.0000 0.0000 0.0000
Al1 Al 0.2500 0.2500 0.7500
Tc1 Tc 0.2500 0.2500 0.2500
Mo1 Mo 0.0000 0.0000 0.5000
```

Its density of states at the Fermi level is 0.86 states/eV per atom. The total energy comes out at -7.430 eV/atom. The total magnetization comes out at 0.000 μB per atom. Its crystal system is cubic. The volume is 17.3 A^3/atom.


# PmSm2Y5Th

PmSm2Y5Th after structural relaxation (PBE-GGA, Alexandria).

The structure in CIF format:
```
data_PmSm2Y5Th
_cell_length_a 8.7687
_cell_length_b 8.7687
_cell_length_c 15.4156
_cell_angle_alpha 90.00
_cell_angle_beta 90.00
_cell_angle_gamma 90.00
_symmetry_space_group_name_H-M 'I 4/m c m'
_symmetry_Int_Tables_number 140
_symmetry_space_group_name_Hall '-I 4 2c'
loop_
_atom_site_label
_atom_site_type_symbol
_atom_site_fract_x
_atom_site_fract_y
_atom_site_fract_z
Pm1 Pm 0.0000 0.5000 0.2500
Sm1 Sm 0.1154 0.3846 0.0000
Y1 Y 0.0000 0.0000 0.0000
Y2 Y 0.2106 0.2894 0.3623
Th1 Th 0.0000 0.0000 0.2500
```

Its density of states at the Fermi level is 1.24 states/eV per atom. The total energy comes out at -5.708 eV/atom. The total magnetization comes out at 0.000 μB per atom. Its crystal system is tetragonal. The volume is 32.9 A^3/atom.